# 1
A relaxed structure of YLuPu2, computed with PBE.

Properties
As for the energy of formation: 175 meV per atom. The final energy is -9.737 eV/atom. The space-group type is P4/mmm, No. 123. The distance to the lowest polymorph of the same formula comes out at 0.02 eV per formula unit.

Structure (POSCAR):
```
YLuPu2
1.0
-3.314 -0.120 3.790
-3.286 -1.875 -2.933
1.481 -4.403 1.155
Y Lu Pu
1 1 2
direct
0.500 0.500 0.500 Y
0.500 0.000 0.000 Lu
0.000 0.000 0.500 Pu
0.000 0.500 0.000 Pu
```


# 2
A relaxed structure of YLuPu4, computed with PBE.

Properties
As for the energy of formation: 229 meV per atom. The final energy is -11.157 eV/atom. The space-group type is F-43m, No. 216.

Structure (POSCAR):
```
YLuPu4
1.0
6.157 0.000 0.000
3.079 5.332 0.000
3.079 1.777 5.027
Y Lu Pu
1 1 4
direct
0.250 0.250 0.250 Y
0.000 0.000 0.000 Lu
0.625 0.625 0.125 Pu
0.625 0.125 0.625 Pu
0.625 0.625 0.625 Pu
0.125 0.625 0.625 Pu
```


# 3
A relaxed structure of Y2LuPu, computed with PBE.

Properties
As for the energy of formation: 193 meV per atom. The final energy is -7.752 eV/atom. The space-group type is Fm-3m, No. 225. The distance to the lowest polymorph of the same formula comes out at 0.17 eV per formula unit.

Structure (POSCAR):
```
Y2LuPu
1.0
-1.548 -5.294 -0.785
3.789 -3.829 -1.423
1.513 -3.917 3.661
Y Lu Pu
2 1 1
direct
0.250 0.250 0.250 Y
0.750 0.750 0.750 Y
0.500 0.500 0.500 Lu
0.000 0.000 0.000 Pu
```


# 4
A relaxed structure of Y2LuPu, computed with PBE.

Properties
As for the energy of formation: 151 meV per atom. The final energy is -7.794 eV/atom. The space-group type is P4/mmm, No. 123. The distance to the lowest polymorph of the same formula comes out at 0.00 eV per formula unit.

Structure (POSCAR):
```
Y2LuPu
1.0
-2.090 -0.645 -4.437
-4.436 -0.511 2.164
-0.741 4.893 -0.363
Y Lu Pu
2 1 1
direct
0.000 0.000 0.500 Y
0.000 0.500 0.000 Y
0.500 0.500 0.500 Lu
0.500 0.000 0.000 Pu
```


# 5
A relaxed structure of YLuPu2, computed with PBE.

Properties
As for the energy of formation: 176 meV per atom. The final energy is -9.736 eV/atom. The space-group type is R-3m, No. 166. The distance to the lowest polymorph of the same formula comes out at 0.02 eV per formula unit.

Structure (POSCAR):
```
YLuPu2
1.0
-2.969 -0.699 1.535
-0.158 -2.443 2.381
1.305 6.645 9.352
Y Lu Pu
1 1 2
direct
0.000 0.000 0.000 Y
0.500 0.500 0.500 Lu
0.751 0.751 0.747 Pu
0.249 0.249 0.253 Pu
```


# 6
A relaxed structure of YLuPu, computed with PBE.

Properties
As for the energy of formation: 126 meV per atom. The final energy is -8.313 eV/atom. The space-group type is P3m1, No. 156. The distance to the lowest polymorph of the same formula comes out at 0.04 eV per formula unit.

Structure (POSCAR):
```
YLuPu
1.0
-1.871 0.720 -2.848
2.765 -2.107 -0.219
-4.981 -6.700 1.577
Y Lu Pu
1 1 1
direct
0.000 0.000 0.000 Y
0.333 0.667 0.664 Lu
0.667 0.333 0.336 Pu
```


- What is the formula in the first record?
  YLuPu2